# 1
# LiTl12Pb7 (PBE-GGA, relaxed)
data_LiTl12Pb7
_chemical_formula_sum 'Li3 Tl36 Pb21'
_cell_length_a 13.5768
_cell_length_b 13.5768
_cell_length_c 11.5892
_cell_angle_alpha 90.00
_cell_angle_beta 90.00
_cell_angle_gamma 120.00
_space_group_name_H-M_alt 'R -3 m'
_space_group_IT_number 166
_space_group_name_Hall '-R 3 2"'
loop_
_atom_site_label
_atom_site_fract_x
_atom_site_fract_y
_atom_site_fract_z
Li1 0.0000 0.0000 0.0000
Tl1 0.0000 0.2595 0.5000
Tl2 0.0846 0.1691 0.2472
Pb1 0.0000 0.0000 0.5000
Pb2 0.0657 0.5329 0.6223
# DFT formation energy, eV per atom: 0.000

---

# 2
# TaIn2Au (PBE-GGA, relaxed)
data_TaIn2Au
_chemical_formula_sum 'Ta1 In2 Au1'
_cell_length_a 3.014
_cell_length_b 3.014
_cell_length_c 8.747
_cell_angle_alpha 90.00
_cell_angle_beta 90.00
_cell_angle_gamma 90.00
_space_group_name_H-M_alt 'P 4/m m m'
_space_group_IT_number 123
_space_group_name_Hall '-P 4 2'
loop_
_atom_site_label
_atom_site_fract_x
_atom_site_fract_y
_atom_site_fract_z
Ta1 0.000 0.000 0.000
In1 0.500 0.500 0.249
Au1 0.000 0.000 0.500
# DFT formation energy, eV per atom: 0.124

---

# 3
# Ac3Nd2Sm5 (PBE-GGA, relaxed)
data_Ac3Nd2Sm5
_chemical_formula_sum 'Ac12 Nd8 Sm20'
_cell_length_a 11.592
_cell_length_b 16.740
_cell_length_c 9.750
_cell_angle_alpha 90.00
_cell_angle_beta 126.42
_cell_angle_gamma 90.00
_space_group_name_H-M_alt 'C 1 2/c 1'
_space_group_IT_number 15
_space_group_name_Hall '-C 2yc'
loop_
_atom_site_label
_atom_site_fract_x
_atom_site_fract_y
_atom_site_fract_z
Ac1 0.000 0.024 0.250
Ac2 0.249 0.136 0.743
Nd1 0.155 0.134 0.051
Sm1 0.000 0.223 0.250
Sm2 0.000 0.282 0.750
Sm3 0.000 0.475 0.750
Sm4 0.145 0.374 0.550
# DFT formation energy, eV per atom: 0.167

---

# 4
# IrRuSe (PBE-GGA, relaxed)
data_IrRuSe
_chemical_formula_sum 'Ir2 Ru2 Se2'
_cell_length_a 2.9487
_cell_length_b 2.9487
_cell_length_c 12.6253
_cell_angle_alpha 90.00
_cell_angle_beta 90.00
_cell_angle_gamma 120.00
_space_group_name_H-M_alt 'P -6 m 2'
_space_group_IT_number 187
_space_group_name_Hall 'P -6 2'
loop_
_atom_site_label
_atom_site_fract_x
_atom_site_fract_y
_atom_site_fract_z
Ir1 0.0000 0.0000 0.0000
Ir2 0.0000 0.0000 0.5000
Ru1 0.3333 0.6667 0.1691
Se1 0.0000 0.0000 0.3108
# ΔE_f (raw), eV per formula unit: 0.8

---

# 5
# Sr3InO (PBE-GGA, relaxed)
data_Sr3InO
_chemical_formula_sum 'Sr12 In4 O4'
_cell_length_a 12.738
_cell_length_b 7.504
_cell_length_c 6.317
_cell_angle_alpha 90.00
_cell_angle_beta 97.45
_cell_angle_gamma 90.00
_space_group_name_H-M_alt 'C 1 2/m 1'
_space_group_IT_number 12
_space_group_name_Hall '-C 2y'
loop_
_atom_site_label
_atom_site_fract_x
_atom_site_fract_y
_atom_site_fract_z
Sr1 0.082 0.237 0.272
Sr2 0.159 0.000 0.793
In1 0.157 0.500 0.746
O1 0.000 0.000 0.000
O2 0.000 0.000 0.500
# ΔE_f (raw), eV per formula unit: -6.4

---

# 6
# TaNi14Ge (PBE-GGA, relaxed)
data_TaNi14Ge
_chemical_formula_sum 'Ta1 Ni14 Ge1'
_cell_length_a 5.082
_cell_length_b 5.082
_cell_length_c 7.069
_cell_angle_alpha 90.00
_cell_angle_beta 90.00
_cell_angle_gamma 90.00
_space_group_name_H-M_alt 'P 4/m m m'
_space_group_IT_number 123
_space_group_name_Hall '-P 4 2'
loop_
_atom_site_label
_atom_site_fract_x
_atom_site_fract_y
_atom_site_fract_z
Ta1 0.000 0.000 0.000
Ni1 0.000 0.000 0.500
Ni2 0.000 0.500 0.000
Ni3 0.000 0.500 0.500
Ni4 0.252 0.252 0.256
Ni5 0.500 0.500 0.500
Ge1 0.500 0.500 0.000
# DFT formation energy, eV per atom: -0.121

---

# 7
# Ba3Zn2Cu4 (PBE-GGA, relaxed)
data_Ba3Zn2Cu4
_chemical_formula_sum 'Ba6 Zn4 Cu8'
_cell_length_a 11.630
_cell_length_b 4.366
_cell_length_c 9.378
_cell_angle_alpha 90.00
_cell_angle_beta 99.71
_cell_angle_gamma 90.00
_space_group_name_H-M_alt 'C 1 2/m 1'
_space_group_IT_number 12
_space_group_name_Hall '-C 2y'
loop_
_atom_site_label
_atom_site_fract_x
_atom_site_fract_y
_atom_site_fract_z
Ba1 0.000 0.000 0.000
Ba2 0.114 0.500 0.383
Zn1 0.194 0.500 0.794
Cu1 0.118 0.000 0.684
Cu2 0.240 0.500 0.072
# DFT formation energy, eV per atom: -0.085

---

# 8
# SrMgGeAu (PBE-GGA, relaxed)
data_SrMgGeAu
_chemical_formula_sum 'Sr4 Mg4 Ge4 Au4'
_cell_length_a 7.206
_cell_length_b 7.206
_cell_length_c 7.206
_cell_angle_alpha 90.00
_cell_angle_beta 90.00
_cell_angle_gamma 90.00
_space_group_name_H-M_alt 'F -4 3 m'
_space_group_IT_number 216
_space_group_name_Hall 'F -4 2 3'
loop_
_atom_site_label
_atom_site_fract_x
_atom_site_fract_y
_atom_site_fract_z
Sr1 0.000 0.000 0.000
Mg1 0.000 0.000 0.500
Ge1 0.250 0.250 0.750
Au1 0.250 0.250 0.250
# DFT formation energy, eV per atom: -0.415

---

Which formula does entry 8 have? SrMgGeAu